<w>
{"formula": "TiGa3Mo", "functional": "PBE", "state": "relaxed", "lattice_angstrom": [[4.8334, -5.0623, 0.0000], [4.8334, 5.0623, 0.0000], [0.0000, 0.0000, 6.7371]], "species": ["Ti", "Ti", "Ti", "Ti", "Ga", "Ga", "Ga", "Ga", "Ga", "Ga", "Ga", "Ga", "Ga", "Ga", "Ga", "Ga", "Mo", "Mo", "Mo", "Mo"], "fractional_positions": [[0.0891, 0.4109, 0.2500], [0.4109, 0.0891, 0.7500], [0.5891, 0.9109, 0.2500], [0.9109, 0.5891, 0.7500], [0.0483, 0.9517, 0.8241], [0.0537, 0.2655, 0.6083], [0.2345, 0.4463, 0.8917], [0.2655, 0.0537, 0.3917], [0.4463, 0.2345, 0.1083], [0.4517, 0.5483, 0.3241], [0.5483, 0.4517, 0.6759], [0.5537, 0.7655, 0.8917], [0.7345, 0.9463, 0.6083], [0.7655, 0.5537, 0.1083], [0.9463, 0.7345, 0.3917], [0.9517, 0.0483, 0.1759], [0.2229, 0.7771, 0.1073], [0.2771, 0.7229, 0.6073], [0.7229, 0.2771, 0.3927], [0.7771, 0.2229, 0.8927]], "crystal_system": "orthorhombic", "space_group": "Cmce", "dos_ef_per_ev_atom": 0.7698}

<x>
{"formula": "TiGa3Mo", "functional": "PBE", "state": "relaxed", "lattice_angstrom": [[4.7732, 0.0000, 0.0000], [0.0000, 4.7732, 0.0000], [0.0000, 0.0000, 4.7732]], "species": ["Ti", "Ga", "Ga", "Ga", "Mo"], "fractional_positions": [[0.0000, 0.0000, 0.0000], [0.0000, 0.5000, 0.5000], [0.5000, 0.0000, 0.5000], [0.5000, 0.5000, 0.0000], [0.5000, 0.5000, 0.5000]], "crystal_system": "cubic", "space_group": "Pm-3m", "dos_ef_per_ev_atom": 1.3356}

Most stable to least stable, the ends of the list are <w> and <x>.

<w>
{"formula": "Ti3Ga4Mo", "functional": "PBE", "state": "relaxed", "lattice_angstrom": [[9.1425, -1.9487, 0.0000], [9.1425, 1.9487, 0.0000], [-0.7381, 0.0000, 3.6093]], "species": ["Ti", "Ti", "Ti", "Ga", "Ga", "Ga", "Ga", "Mo"], "fractional_positions": [[0.0000, 0.0000, 0.0000], [0.3723, 0.3723, 0.8725], [0.6277, 0.6277, 0.1275], [0.1131, 0.1131, 0.6126], [0.2488, 0.2488, 0.2489], [0.7512, 0.7512, 0.7511], [0.8869, 0.8869, 0.3874], [0.5000, 0.5000, 0.5000]], "crystal_system": "monoclinic", "space_group": "C2/m", "dos_ef_per_ev_atom": 0.6680}

<x>
{"formula": "Ti3Ga4Mo", "functional": "PBE", "state": "relaxed", "lattice_angstrom": [[8.4772, 0.0000, 0.0000], [0.0000, 5.4302, 0.0000], [0.0000, 0.0000, 5.4343]], "species": ["Ti", "Ti", "Ti", "Ti", "Ti", "Ti", "Ga", "Ga", "Ga", "Ga", "Ga", "Ga", "Ga", "Ga", "Mo", "Mo"], "fractional_positions": [[0.0000, 0.0297, 0.0000], [0.2500, 0.2617, 0.2791], [0.2500, 0.7383, 0.7791], [0.5000, 0.9703, 0.5000], [0.7500, 0.2617, 0.2791], [0.7500, 0.7383, 0.7791], [0.0000, 0.5213, 0.0466], [0.0000, 0.9862, 0.5098], [0.2365, 0.7600, 0.2774], [0.2635, 0.2400, 0.7774], [0.5000, 0.0138, 0.0098], [0.5000, 0.4787, 0.5466], [0.7365, 0.2400, 0.7774], [0.7635, 0.7600, 0.2774], [0.0000, 0.4798, 0.5523], [0.5000, 0.5202, 0.0523]], "crystal_system": "orthorhombic", "space_group": "Pmn2_1", "dos_ef_per_ev_atom": 0.7916}

Most stable to least stable, the ends of the list are <x> and <w>.

<w>
{"formula": "Ti4Ga3Mo", "functional": "PBE", "state": "relaxed", "lattice_angstrom": [[0.0000, 3.1323, 6.4643], [3.1198, 0.0000, 6.4643], [3.1198, 3.1323, 0.0000]], "species": ["Ti", "Ti", "Ti", "Ti", "Ga", "Ga", "Ga", "Mo"], "fractional_positions": [[0.1224, 0.1224, 0.3776], [0.3776, 0.3776, 0.1224], [0.6224, 0.6224, 0.8776], [0.8776, 0.8776, 0.6224], [0.0000, 0.0000, 0.0000], [0.2570, 0.2570, 0.7430], [0.7430, 0.7430, 0.2570], [0.5000, 0.5000, 0.5000]], "crystal_system": "orthorhombic", "space_group": "Fmmm", "dos_ef_per_ev_atom": 0.5325}

<x>
{"formula": "Ti4Ga3Mo", "functional": "PBE", "state": "relaxed", "lattice_angstrom": [[9.1823, 0.0000, 0.0000], [0.0000, 5.9162, 0.0000], [0.0000, 0.0000, 4.7567]], "species": ["Ti", "Ti", "Ti", "Ti", "Ti", "Ti", "Ti", "Ti", "Ga", "Ga", "Ga", "Ga", "Ga", "Ga", "Mo", "Mo"], "fractional_positions": [[0.0000, 0.1307, 0.0000], [0.0000, 0.8663, 0.5010], [0.2427, 0.1305, 0.4363], [0.2573, 0.8695, 0.9363], [0.5000, 0.1337, 0.0010], [0.5000, 0.8693, 0.5000], [0.7427, 0.8695, 0.9363], [0.7573, 0.1305, 0.4363], [0.0000, 0.6307, 0.0150], [0.2455, 0.3749, 0.9249], [0.2545, 0.6251, 0.4249], [0.5000, 0.3693, 0.5150], [0.7455, 0.6251, 0.4249], [0.7545, 0.3749, 0.9249], [0.0000, 0.3918, 0.5215], [0.5000, 0.6082, 0.0215]], "crystal_system": "orthorhombic", "space_group": "Pmn2_1", "dos_ef_per_ev_atom": 0.9630}

Most stable to least stable, the ends of the list are <w> and <x>.

<w>
{"formula": "Ti3Ga2Mo", "functional": "PBE", "state": "relaxed", "lattice_angstrom": [[2.1542, -6.4957, 0.0000], [2.1542, 6.4957, 0.0000], [0.0000, 0.0000, 3.3904]], "species": ["Ti", "Ti", "Ti", "Ga", "Ga", "Mo"], "fractional_positions": [[0.0000, 0.0000, 0.0000], [0.3330, 0.6670, 0.0000], [0.6670, 0.3330, 0.0000], [0.1581, 0.8419, 0.5000], [0.8419, 0.1581, 0.5000], [0.5000, 0.5000, 0.5000]], "crystal_system": "orthorhombic", "space_group": "Cmmm", "dos_ef_per_ev_atom": 0.3760}

<x>
{"formula": "Ti3Ga2Mo", "functional": "PBE", "state": "relaxed", "lattice_angstrom": [[3.2317, 0.0000, 0.0000], [0.0000, 3.2317, 0.0000], [0.0000, 0.0000, 9.1597]], "species": ["Ti", "Ti", "Ti", "Ga", "Ga", "Mo"], "fractional_positions": [[0.0000, 0.0000, 0.0000], [0.0000, 0.0000, 0.3408], [0.0000, 0.0000, 0.6592], [0.5000, 0.5000, 0.1758], [0.5000, 0.5000, 0.8242], [0.5000, 0.5000, 0.5000]], "crystal_system": "tetragonal", "space_group": "P4/mmm", "dos_ef_per_ev_atom": 0.4477}

Most stable to least stable, the ends of the list are <w> and <x>.

<w>
{"formula": "Tl2GaMo", "functional": "PBE", "state": "relaxed", "lattice_angstrom": [[-5.3413, 5.3413, 2.4902], [5.3413, -5.3413, 2.4902], [5.3413, 5.3413, -2.4902]], "species": ["Tl", "Tl", "Tl", "Tl", "Ga", "Ga", "Mo", "Mo"], "fractional_positions": [[0.0000, 0.0000, 0.0000], [0.0000, 0.0000, 0.5000], [0.0000, 0.5000, 0.0000], [0.5000, 0.0000, 0.5000], [0.3750, 0.6250, 0.7500], [0.6250, 0.3750, 0.2500], [0.1250, 0.8750, 0.2500], [0.8750, 0.1250, 0.7500]], "crystal_system": "tetragonal", "space_group": "I4_1/amd", "dos_ef_per_ev_atom": 1.0548}

<x>
{"formula": "Tl2GaMo", "functional": "PBE", "state": "relaxed", "lattice_angstrom": [[0.0000, 3.5871, 3.5871], [3.5871, 0.0000, 3.5871], [3.5871, 3.5871, 0.0000]], "species": ["Tl", "Tl", "Ga", "Mo"], "fractional_positions": [[0.2500, 0.2500, 0.2500], [0.7500, 0.7500, 0.7500], [0.0000, 0.0000, 0.0000], [0.5000, 0.5000, 0.5000]], "crystal_system": "cubic", "space_group": "Fm-3m", "dos_ef_per_ev_atom": 0.7875}

Most stable to least stable, the ends of the list are <w> and <x>.

<w>
{"formula": "TlGaMo3", "functional": "PBE", "state": "relaxed", "lattice_angstrom": [[4.6476, 0.0000, 0.0000], [0.0000, 4.6476, 0.0000], [0.0000, 0.0000, 4.6476]], "species": ["Tl", "Ga", "Mo", "Mo", "Mo"], "fractional_positions": [[0.0000, 0.0000, 0.0000], [0.5000, 0.5000, 0.5000], [0.0000, 0.5000, 0.5000], [0.5000, 0.0000, 0.5000], [0.5000, 0.5000, 0.0000]], "crystal_system": "cubic", "space_group": "Pm-3m", "dos_ef_per_ev_atom": 1.1290}

<x>
{"formula": "TlGaMo3", "functional": "PBE", "state": "relaxed", "lattice_angstrom": [[4.9763, 0.0000, 0.0000], [0.0000, 4.9763, 0.0000], [0.0000, 0.0000, 4.9763]], "species": ["Tl", "Ga", "Mo", "Mo", "Mo"], "fractional_positions": [[0.0000, 0.0000, 0.0000], [0.5000, 0.5000, 0.5000], [0.0000, 0.0000, 0.5000], [0.0000, 0.5000, 0.0000], [0.5000, 0.0000, 0.0000]], "crystal_system": "cubic", "space_group": "Pm-3m", "dos_ef_per_ev_atom": 1.9034}

Most stable to least stable, the ends of the list are <w> and <x>.